Na3CrBAsO7: optimized geometry, GGA+U.

```
data_Na3CrBAsO7
_space_group_name_H-M_alt 'P 1'
_space_group_IT_number 1
_space_group_name_Hall 'P 1'
_cell_length_a 5.3735
_cell_length_b 6.7408
_cell_length_c 9.1066
_cell_angle_alpha 90.00
_cell_angle_beta 92.15
_cell_angle_gamma 90.00
loop_
_atom_site_label
_atom_site_fract_x
_atom_site_fract_y
_atom_site_fract_z
O1 0.3997 0.2500 0.0336
As1 0.2835 0.7500 0.9244
O2 0.6003 0.7500 0.9664
O3 0.7934 0.0535 0.1898
O4 0.7934 0.4465 0.1898
As2 0.7165 0.2500 0.0756
O5 0.0449 0.2500 0.6292
O6 0.1273 0.7500 0.0843
Cr1 0.2196 0.2500 0.8281
O7 0.5274 0.7500 0.3256
O8 0.8727 0.2500 0.9157
O9 0.6834 0.7500 0.5807
Na1 0.2471 0.0009 0.2563
Na2 0.7529 0.5009 0.7437
Na3 0.7529 0.9991 0.7437
Na4 0.2385 0.7500 0.5735
B1 0.2796 0.2500 0.5645
O10 0.2066 0.9465 0.8102
O11 0.9551 0.7500 0.3708
O12 0.4726 0.2500 0.6744
O13 0.2066 0.5535 0.8102
Na5 0.2471 0.4991 0.2563
Cr2 0.7804 0.7500 0.1719
Na6 0.7615 0.2500 0.4265
O14 0.3166 0.2500 0.4193
B2 0.7204 0.7500 0.4355
```

Results
E_tot   -163.97 eV per cell
Crystal system   monoclinic
D(E_F)   0.00 states/eV/atom